No. 1
A plane-wave DFT calculation with PBEsol was carried out for an optimized crystal structure of TaMoC.

abc: 2.7564 2.7564 9.8505
angles: 90.00 90.00 90.00
With the nearest neighbours (Å) after each atom.
Space group I4mm (No. 107)
Inequivalent atoms, fractional coordinates:
Ta: 0.0000 0.0000 0.0000  4 C 2.43, 1 Mo 2.58
Mo: 0.0000 0.0000 0.2621  4 C 2.26
C: 0.0000 0.0000 0.6469  4 Mo 2.26, 4 Ta 2.43

Calculated values
For the density of states at the Fermi level, the calculation gives 1.4 states/eV/f.u. The total energy comes out at -66.66 eV/cell. As for the formation enthalpy at 0 K: 0.210 eV/atom. For the relative energy among the computed polymorphs, the calculation gives 634 meV per atom.

---

No. 2
A plane-wave DFT calculation with PBEsol was carried out for an optimized crystal structure of TaMoC.

abc: 3.0777 3.0777 4.7244
angles: 90.00 90.00 120.00
With the nearest neighbours (Å) after each atom.
Space group P3m1 (No. 156)
Inequivalent atoms, fractional coordinates:
Ta: 0.0000 0.0000 0.0000  3 C 2.16
Mo: 0.6667 0.3333 0.4983  3 C 2.11
C: 0.3333 0.6667 0.7386  3 Mo 2.11, 3 Ta 2.16

Calculated values
For the density of states at the Fermi level, the calculation gives 1.1 states/eV/f.u. The total energy comes out at -35.23 eV/cell. As for the formation enthalpy at 0 K: -0.423 eV/atom. For the relative energy among the computed polymorphs, the calculation gives 0 meV per atom.

---

No. 3
A plane-wave DFT calculation with PBEsol was carried out for an optimized crystal structure of Ta2MoC.

abc: 2.8765 4.7456 8.4281
angles: 90.00 90.00 90.00
With the nearest neighbours (Å) after each atom.
Space group Imm2 (No. 44)
Inequivalent atoms, fractional coordinates:
Ta: 0.0000 0.0000 0.0000  2 C 2.13
Ta: 0.0000 0.5000 0.1859  4 C 2.77, 4 Mo 2.81-3.07, 6 Ta 2.84-3.01
Mo: 0.0000 0.0000 0.3638  2 C 2.07
C: 0.0000 0.5000 0.6871  2 Mo 2.07, 2 Ta 2.13

Calculated values
For the density of states at the Fermi level, the calculation gives 2.8 states/eV/f.u. The total energy comes out at -91.29 eV/cell. As for the formation enthalpy at 0 K: 0.217 eV/atom.

---

No. 4
A plane-wave DFT calculation with PBEsol was carried out for an optimized crystal structure of TaMo2C.

abc: 3.0962 4.6609 7.5047
angles: 90.00 90.00 90.00
With the nearest neighbours (Å) after each atom.
Space group Cmmm (No. 65)
Inequivalent atoms, fractional coordinates:
Ta: 0.0000 0.0000 0.0000  4 Mo 2.79, 6 Ta 2.80-3.10
Mo: 0.0000 0.5000 0.3087  2 C 2.11
C: 0.0000 0.0000 0.5000  4 Mo 2.11

Calculated values
For the density of states at the Fermi level, the calculation gives 3.0 states/eV/f.u. The total energy comes out at -89.65 eV/cell. As for the formation enthalpy at 0 K: 0.227 eV/atom.

---

No. 5
A plane-wave DFT calculation with PBEsol was carried out for an optimized crystal structure of Ta2MoC.

abc: 3.0431 3.0431 21.3933
angles: 90.00 90.00 120.00
With the nearest neighbours (Å) after each atom.
Space group R3m (No. 160, hexagonal axes)
Inequivalent atoms, fractional coordinates:
Ta: 0.0000 0.0000 0.0000  3 C 2.17
Ta: 0.0000 0.0000 0.2221  3 Mo 2.91, 9 Ta 2.96-3.04
Mo: 0.0000 0.0000 0.4468  3 C 2.11
C: 0.0000 0.0000 0.7259  3 Mo 2.11, 3 Ta 2.17

Calculated values
For the density of states at the Fermi level, the calculation gives 2.5 states/eV/f.u. The total energy comes out at -142.39 eV/cell. As for the formation enthalpy at 0 K: -0.237 eV/atom.

---

No. 6
A plane-wave DFT calculation with PBEsol was carried out for an optimized crystal structure of TaMoC.

abc: 5.3829 5.3829 5.3829
angles: 90.00 90.00 90.00
With the nearest neighbours (Å) after each atom.
Space group F-43m (No. 216)
Inequivalent atoms, fractional coordinates:
Ta: 0.0000 0.0000 0.0000  4 C 2.33
Mo: 0.0000 0.0000 0.5000  4 C 2.33
C: 0.2500 0.2500 0.2500  4 Ta 2.33, 4 Mo 2.33

Calculated values
For the density of states at the Fermi level, the calculation gives 2.0 states/eV/f.u. The total energy comes out at -130.49 eV/cell. As for the formation enthalpy at 0 K: 0.447 eV/atom. For the relative energy among the computed polymorphs, the calculation gives 870 meV per atom.